Material: KCdIn6
Method: DFT, PBE
State: relaxed

abc: 5.2169 5.2169 9.0046
angles: 90.00 90.00 90.00
Last column: nearest neighbours and their distance in Å.
Element x y z (fractional)
K: 0.0000 0.0000 0.0000  16 In 3.93-3.96
Cd: 0.0000 0.0000 0.5000  8 In 3.04
In: 0.0000 0.5000 0.3266  3 In 3.01-3.12, 2 Cd 3.04
In: 0.0000 0.5000 0.6734  3 In 3.01-3.12, 2 Cd 3.04
In: 0.5000 0.0000 0.3266  3 In 3.01-3.12, 2 Cd 3.04
In: 0.5000 0.0000 0.6734  3 In 3.01-3.12, 2 Cd 3.04
In: 0.5000 0.5000 0.1601  5 In 2.88-3.01
In: 0.5000 0.5000 0.8399  5 In 2.88-3.01

Values from the calculation:
Formation energy from the elements = -0.5 eV per formula unit
Energy above the most stable polymorph in this dataset = 0.000 eV per formula unit
Symmetry = P4/mmm